DFT (PBE) results for a geometry-optimized LaPm5Er2 structure. Values from VASP.

Structure (Quantum ESPRESSO input):
```
&SYSTEM
  ibrav = 0, nat = 16, ntyp = 3
/
ATOMIC_SPECIES
La 138.91 La.upf
Pm 145.00 Pm.upf
Er 167.26 Er.upf
CELL_PARAMETERS angstrom
7.257 0.000 0.000
0.000 14.521 0.000
0.000 0.000 5.114
ATOMIC_POSITIONS angstrom
La 0.000 0.000 0.000
La 3.629 7.260 0.000
Pm 0.000 7.260 0.000
Pm 0.020 3.648 0.000
Pm 1.797 9.087 2.557
Pm 1.831 1.826 2.557
Pm 3.609 10.908 0.000
Pm 3.629 0.000 0.000
Pm 3.649 3.612 0.000
Pm 5.426 12.694 2.557
Pm 5.460 5.434 2.557
Pm 7.237 10.873 0.000
Er 1.806 12.693 2.557
Er 1.823 5.433 2.557
Er 5.434 9.088 2.557
Er 5.452 1.828 2.557
```

Calculated values
Energy relative to the elements: 0.015 eV/atom
Spin magnetization: 0.00 μB/f.u.



DFT (PBE) results for a geometry-optimized La3Ho6In structure. Values from VASP.

Structure (Quantum ESPRESSO input):
```
&SYSTEM
  ibrav = 0, nat = 20, ntyp = 3
/
ATOMIC_SPECIES
La 138.91 La.upf
Ho 164.93 Ho.upf
In 114.82 In.upf
CELL_PARAMETERS angstrom
5.531 -9.589 0.000
5.531 9.589 0.000
0.000 0.000 6.155
ATOMIC_POSITIONS angstrom
La 5.531 7.544 3.078
La 3.730 2.064 0.691
La 3.730 -2.064 3.768
La 7.331 2.064 0.691
La 7.331 -2.064 3.768
La 5.531 -7.544 0.000
Ho 2.872 3.976 4.103
Ho 1.779 0.931 3.159
Ho 1.779 -0.931 0.081
Ho 5.531 5.307 5.615
Ho 5.531 1.204 3.770
Ho 2.872 -3.976 1.026
Ho 8.189 3.976 4.103
Ho 5.531 -1.204 0.693
Ho 5.531 -5.307 2.537
Ho 9.283 0.931 3.159
Ho 9.283 -0.931 0.081
Ho 8.189 -3.976 1.026
In 5.531 4.341 2.454
In 5.531 -4.341 5.531
```

Calculated values
Energy relative to the elements: 0.012 eV/atom
Spin magnetization: 0.00 μB/f.u.



DFT (PBE) results for a geometry-optimized KLa2Br8 structure. Values from VASP.

Structure (Quantum ESPRESSO input):
```
&SYSTEM
  ibrav = 0, nat = 11, ntyp = 3
/
ATOMIC_SPECIES
K 39.10 K.upf
La 138.91 La.upf
Br 79.90 Br.upf
CELL_PARAMETERS angstrom
6.238 -4.603 0.000
6.238 4.603 0.000
-1.868 0.000 8.164
ATOMIC_POSITIONS angstrom
K 0.000 0.000 0.000
La 3.021 0.000 4.410
La 7.587 0.000 3.754
Br 3.012 2.813 5.609
Br 1.020 0.000 6.543
Br 7.595 2.813 2.555
Br 5.025 0.000 2.217
Br 5.583 0.000 5.947
Br 3.012 -2.813 5.609
Br 9.588 0.000 1.621
Br 7.595 -2.813 2.555
```

Calculated values
Calculated total energy: -3.90 eV/atom
Spin magnetization: 1.12 μB/f.u.



DFT (PBE) results for a geometry-optimized Ta12TcMo6 structure. Values from VASP.

Structure (Quantum ESPRESSO input):
```
&SYSTEM
  ibrav = 0, nat = 19, ntyp = 3
/
ATOMIC_SPECIES
Ta 180.95 Ta.upf
Tc 98.00 Tc.upf
Mo 95.94 Mo.upf
CELL_PARAMETERS angstrom
5.541 3.199 3.268
-5.541 3.199 3.268
0.000 -6.398 3.268
ATOMIC_POSITIONS angstrom
Ta 0.000 -1.663 2.513
Ta -1.440 0.831 2.513
Ta -2.408 -1.390 4.539
Ta 0.000 -2.781 5.267
Ta -2.408 1.391 5.267
Ta 1.440 0.831 2.513
Ta -1.440 -0.831 7.292
Ta 2.408 -1.391 4.539
Ta 0.000 2.781 4.539
Ta 2.408 1.391 5.267
Ta 1.440 -0.831 7.292
Ta 0.000 1.663 7.292
Tc 0.000 0.000 4.903
Mo -1.461 -3.869 3.268
Mo -4.081 0.669 3.268
Mo 1.461 -3.869 3.268
Mo -2.620 3.199 3.268
Mo 4.081 0.669 3.268
Mo 2.620 3.199 3.268
```

Calculated values
Energy relative to the elements: 0.216 eV/atom
Spin magnetization: 0.00 μB/f.u.



DFT (PBE) results for a geometry-optimized La2TbCo structure. Values from VASP.

Structure (Quantum ESPRESSO input):
```
&SYSTEM
  ibrav = 0, nat = 4, ntyp = 3
/
ATOMIC_SPECIES
La 138.91 La.upf
Tb 158.93 Tb.upf
Co 58.93 Co.upf
CELL_PARAMETERS angstrom
1.949 1.125 9.283
-1.949 1.125 9.283
0.000 -2.250 9.283
ATOMIC_POSITIONS angstrom
La 0.000 0.000 0.000
La 0.000 0.000 6.092
Tb 0.000 0.000 21.605
Co 0.000 0.000 16.994
```

Calculated values
Energy relative to the elements: 0.027 eV/atom
Spin magnetization: 0.39 μB/f.u.



DFT (PBE) results for a geometry-optimized SrLi2Mn structure. Values from VASP.

Structure (Quantum ESPRESSO input):
```
&SYSTEM
  ibrav = 0, nat = 4, ntyp = 3
/
ATOMIC_SPECIES
Sr 87.62 Sr.upf
Li 6.94 Li.upf
Mn 54.94 Mn.upf
CELL_PARAMETERS angstrom
-1.990 2.624 4.913
1.990 -2.624 4.913
1.990 2.624 -4.913
ATOMIC_POSITIONS angstrom
Sr 0.000 0.000 0.000
Li 1.990 0.000 2.746
Li 0.000 2.624 2.167
Mn 0.000 0.000 4.913
```

Calculated values
Energy relative to the elements: 0.383 eV/atom
Spin magnetization: 3.87 μB/f.u.